PmDyO2 PBE-GGA optimized geometry; energy above the lowest structure with this stoichiometry = 0.0000 eV/atom
1.0
1.8065 1.0430 6.6853
-1.8065 1.0430 6.6853
0.0000 -2.0860 6.6853
Pm Dy O
1 1 2
direct
0.0000 0.0000 0.0000
0.5000 0.5000 0.5000
0.1144 0.1144 0.1144
0.8856 0.8856 0.8856



PmDyPuO6 after structural relaxation, computed with PBE-GGA.

```
PmDyPuO6
1.0
5.7634 0.0000 0.0000
-2.8817 4.9913 0.0000
0.0000 0.0000 9.6927
Pm Dy Pu O
2 2 2 12
direct
0.0000 0.0000 0.0000
0.0000 0.0000 0.5000
0.3333 0.6667 0.2500
0.6667 0.3333 0.7500
0.3333 0.6667 0.7500
0.6667 0.3333 0.2500
0.0258 0.3625 0.6361
0.0258 0.6633 0.8639
0.3367 0.3625 0.8639
0.3367 0.9742 0.6361
0.3625 0.0258 0.1361
0.3625 0.3367 0.3639
0.6375 0.6633 0.6361
0.6375 0.9742 0.8639
0.6633 0.0258 0.3639
0.6633 0.6375 0.1361
0.9742 0.3367 0.1361
0.9742 0.6375 0.3639
```



no.,E_form (uncorrected) (meV per atom)
1,-2849
2,-3046